No. 1
Entry from Alexandria: Na3Hg12Au5 after structural relaxation (PBE).

Cell: 14.828 14.828 14.828 Å, 109.47 109.47 109.47°
Positions (direct):
Na (0.125, 0.250, 0.375)
Na (0.125, 0.375, 0.750)
Na (0.250, 0.375, 0.125)
Na (0.250, 0.875, 0.625)
Na (0.375, 0.125, 0.250)
Na (0.375, 0.750, 0.125)
Na (0.625, 0.250, 0.875)
Na (0.625, 0.875, 0.750)
Na (0.750, 0.125, 0.375)
Na (0.750, 0.625, 0.875)
Na (0.875, 0.625, 0.250)
Na (0.875, 0.750, 0.625)
Hg (0.045, 0.221, 0.107)
Hg (0.045, 0.324, 0.938)
Hg (0.062, 0.607, 0.386)
Hg (0.062, 0.955, 0.676)
Hg (0.107, 0.045, 0.221)
Hg (0.107, 0.562, 0.886)
Hg (0.114, 0.721, 0.676)
Hg (0.114, 0.893, 0.438)
Hg (0.176, 0.221, 0.614)
Hg (0.176, 0.455, 0.562)
Hg (0.221, 0.107, 0.045)
Hg (0.221, 0.614, 0.176)
Hg (0.279, 0.324, 0.886)
Hg (0.279, 0.455, 0.393)
Hg (0.324, 0.886, 0.279)
Hg (0.324, 0.938, 0.045)
Hg (0.386, 0.062, 0.607)
Hg (0.386, 0.824, 0.779)
Hg (0.393, 0.279, 0.455)
Hg (0.393, 0.614, 0.938)
Hg (0.438, 0.114, 0.893)
Hg (0.438, 0.824, 0.545)
Hg (0.455, 0.393, 0.279)
Hg (0.455, 0.562, 0.176)
Hg (0.545, 0.438, 0.824)
Hg (0.545, 0.607, 0.721)
Hg (0.562, 0.176, 0.455)
Hg (0.562, 0.886, 0.107)
Hg (0.607, 0.386, 0.062)
Hg (0.607, 0.721, 0.545)
Hg (0.614, 0.176, 0.221)
Hg (0.614, 0.938, 0.393)
Hg (0.676, 0.062, 0.955)
Hg (0.676, 0.114, 0.721)
Hg (0.721, 0.545, 0.607)
Hg (0.721, 0.676, 0.114)
Hg (0.779, 0.386, 0.824)
Hg (0.779, 0.893, 0.955)
Hg (0.824, 0.545, 0.438)
Hg (0.824, 0.779, 0.386)
Hg (0.886, 0.107, 0.562)
Hg (0.886, 0.279, 0.324)
Hg (0.893, 0.438, 0.114)
Hg (0.893, 0.955, 0.779)
Hg (0.938, 0.045, 0.324)
Hg (0.938, 0.393, 0.614)
Hg (0.955, 0.676, 0.062)
Hg (0.955, 0.779, 0.893)
Au (0.000, 0.000, 0.000)
Au (0.000, 0.000, 0.500)
Au (0.000, 0.500, 0.000)
Au (0.000, 0.500, 0.500)
Au (0.125, 0.750, 0.875)
Au (0.125, 0.875, 0.250)
Au (0.250, 0.125, 0.875)
Au (0.250, 0.625, 0.375)
Au (0.375, 0.250, 0.625)
Au (0.375, 0.625, 0.750)
Au (0.500, 0.000, 0.000)
Au (0.500, 0.000, 0.500)
Au (0.500, 0.500, 0.000)
Au (0.500, 0.500, 0.500)
Au (0.625, 0.375, 0.250)
Au (0.625, 0.750, 0.375)
Au (0.750, 0.375, 0.625)
Au (0.750, 0.875, 0.125)
Au (0.875, 0.125, 0.750)
Au (0.875, 0.250, 0.125)

Summary:
electronic total energy = -1.173 eV per atom
formation energy from the elements = 25 meV/atom

No. 2
Entry from Alexandria: Na3Hg6Au after structural relaxation (PBE).

Cell: 8.318 8.318 8.318 Å, 104.77 104.77 104.77°
Positions (direct):
Na (0.063, 0.387, 0.294)
Na (0.294, 0.063, 0.387)
Na (0.387, 0.294, 0.063)
Na (0.613, 0.706, 0.937)
Na (0.706, 0.937, 0.613)
Na (0.937, 0.613, 0.706)
Hg (0.001, 0.321, 0.891)
Hg (0.109, 0.999, 0.679)
Hg (0.242, 0.395, 0.685)
Hg (0.315, 0.758, 0.605)
Hg (0.321, 0.891, 0.001)
Hg (0.395, 0.685, 0.242)
Hg (0.605, 0.315, 0.758)
Hg (0.679, 0.109, 0.999)
Hg (0.685, 0.242, 0.395)
Hg (0.758, 0.605, 0.315)
Hg (0.891, 0.001, 0.321)
Hg (0.999, 0.679, 0.109)
Au (0.000, 0.000, 0.000)
Au (0.500, 0.500, 0.500)

Summary:
electronic total energy = -1.090 eV per atom
formation energy from the elements = -186 meV/atom

Among the records above, which one has the lowest electronic total energy? Na3Hg12Au5

Which of these has the highest electronic total energy? Na3Hg6Au